Below is Cd2OsRh after structural relaxation, with properties calculated at the PBE-GGA level.

Distance to the lowest polymorph of the same formula, meV/atom: 186
Total magnetic moment, Bohr magnetons per cell: 0.00
ρ, g/cm3: 12.7
Crystal system: monoclinic
Energy relative to the elements, eV per atom: 0.340

Cell lengths 5.024, 5.024, 5.048 Å; angles 79.46, 79.46, 32.92 degrees
Fractional coordinates of all 4 atoms:
Cd  0.758  0.758  0.746
Cd  0.992  0.992  0.002
Os  0.513  0.513  0.480
Rh  0.237  0.237  0.272

Below is CdOsRh after structural relaxation, with properties calculated at the PBE-GGA level.

Distance to the lowest polymorph of the same formula, meV/atom: 53
Total magnetic moment, Bohr magnetons per cell: 0.00
ρ, g/cm3: 14.1
Crystal system: trigonal
Energy relative to the elements, eV per atom: 0.240

Cell lengths 2.810, 2.810, 6.975 Å; angles 90.00, 90.00, 120.00 degrees
Fractional coordinates of all 3 atoms:
Cd  0.000  0.000  0.997
Rh  0.667  0.333  0.649
Os  0.333  0.667  0.354

Below is CdOsRh2 after structural relaxation, with properties calculated at the PBE-GGA level.

Total magnetic moment, Bohr magnetons per cell: 0.00
ρ, g/cm3: 13.5
Crystal system: cubic
Energy relative to the elements, eV per atom: 0.502

Cell lengths 4.450, 4.450, 4.450 Å; angles 60.00, 60.00, 60.00 degrees
Fractional coordinates of all 4 atoms:
Os  0.250  0.250  0.250
Rh  0.000  0.000  0.000
Rh  0.750  0.750  0.750
Cd  0.500  0.500  0.500

Below is Cd2OsRh after structural relaxation, with properties calculated at the PBE-GGA level.

Distance to the lowest polymorph of the same formula, meV/atom: 211
Total magnetic moment, Bohr magnetons per cell: 0.00
ρ, g/cm3: 12.1
Crystal system: orthorhombic
Energy relative to the elements, eV per atom: 0.365

Cell lengths 5.930, 5.930, 5.930 Å; angles 152.49, 131.84, 56.36 degrees
Fractional coordinates of all 4 atoms:
Rh  0.727  0.227  0.500
Cd  0.977  0.977  0.000
Cd  0.272  0.772  0.500
Os  0.525  0.525  0.000